Co2Ru2F: relaxed, PBE with a Hubbard U.

The value obtained for the energy above the most stable polymorph in this dataset is 0.09 eV/f.u. The value obtained for the total magnetization is 4.0 μB/f.u.

The structure belongs to space group P1 (No. 1); the cell edges are 2.703, 7.203 and 7.220 Å and the angles 106.02°, 90.36° and 100.52°. The asymmetric unit holds Co at (0.000, 0.000, 0.000), Co at (0.060, 0.123, 0.695), Co at (0.669, 0.312, 0.075), Co at (0.907, 0.819, 0.390), Ru at (0.237, 0.490, 0.403), Ru at (0.395, 0.795, 0.692), Ru at (0.582, 0.172, 0.383), Ru at (0.734, 0.464, 0.690), F at (0.436, 0.860, 0.170) and F at (0.788, 0.544, 0.989).